Density functional theory data (PBE) for a relaxed structure of DyY2Er2S7.

a b c (Å): 6.6999 6.6999 11.5607
angles (deg): 104.00 104.00 32.87
Last column: nearest neighbours and their distance in Å.
Fractional positions:
Dy1 0.0000 0.0000 0.0000  6 S 2.68-2.75
Er1 0.2999 0.2999 0.1864  7 S 2.72-2.92
Er2 0.7001 0.7001 0.8136  7 S 2.72-2.92
S1 0.6604 0.6604 0.0515  2 Dy 2.75, 3 Er 2.80-2.92
S2 0.9564 0.9564 0.2144  1 Dy 2.68, 1 Y 2.70, 2 Er 2.72
S3 0.7417 0.7417 0.3506  3 Y 2.78-2.83, 2 Er 2.91
S4 0.5000 0.5000 0.5000  4 Y 2.68
S5 0.2583 0.2583 0.6494  3 Y 2.78-2.83, 2 Er 2.91
S6 0.0436 0.0436 0.7856  1 Dy 2.68, 1 Y 2.70, 2 Er 2.72
S7 0.3396 0.3396 0.9485  2 Dy 2.75, 3 Er 2.80-2.92
Y1 0.1121 0.1121 0.4207  6 S 2.68-2.83
Y2 0.8879 0.8879 0.5793  6 S 2.68-2.83

Summary:
energy = -6.693 eV per atom

=====

Density functional theory data (PBE) for a relaxed structure of HfZnHg.

a b c (Å): 5.6636 5.6636 5.6636
angles (deg): 146.24 146.24 48.50
Last column: nearest neighbours and their distance in Å.
Fractional positions:
Hf1 0.9905 0.9905 0.0000  4 Zn 2.84, 4 Hg 3.02
Hg1 0.6772 0.6772 0.0000  4 Zn 2.82, 4 Hf 3.02
Zn1 0.3323 0.3323 0.0000  4 Hg 2.82, 4 Hf 2.84

Summary:
calculated formation energy = 0.33 kcal/mol of atoms
energy = -3.825 eV per atom

=====

Density functional theory data (PBE) for a relaxed structure of LuTlO3.

a b c (Å): 5.8984 5.8984 5.8984
angles (deg): 58.41 58.41 58.41
Last column: nearest neighbours and their distance in Å.
Fractional positions:
Lu1 0.0000 0.0000 0.0000  6 O 2.19
Lu2 0.5000 0.5000 0.5000  6 O 2.19
O1 0.7500 0.3805 0.1195  1 Tl 2.13, 2 Lu 2.19
O2 0.6195 0.8805 0.2500  1 Tl 2.13, 2 Lu 2.19
O3 0.1195 0.7500 0.3805  1 Tl 2.13, 2 Lu 2.19
O4 0.8805 0.2500 0.6195  1 Tl 2.13, 2 Lu 2.19
O5 0.3805 0.1195 0.7500  1 Tl 2.13, 2 Lu 2.19
O6 0.2500 0.6195 0.8805  1 Tl 2.13, 2 Lu 2.19
Tl1 0.2500 0.2500 0.2500  3 O 2.13
Tl2 0.7500 0.7500 0.7500  3 O 2.13

Summary:
energy = -6.452 eV per atom

=====

Density functional theory data (PBE) for a relaxed structure of Rb2NbTeSeS.

a b c (Å): 7.5538 8.0292 9.1686
angles (deg): 74.78 67.73 63.28
Last column: nearest neighbours and their distance in Å.
Fractional positions:
Nb1 0.6212 0.9446 0.3358  1 S 2.29, 2 Se 2.51-2.52
Nb2 0.3788 0.0554 0.6642  1 S 2.29, 2 Se 2.51-2.52
Rb1 0.0778 0.2162 0.1363  2 S 3.42-3.60, 1 Se 3.67, 3 Te 3.68-3.81
Rb2 0.2874 0.5852 0.3377  2 S 3.45-3.55, 1 Se 3.57, 2 Te 3.71-3.74
Rb3 0.7126 0.4148 0.6623  2 S 3.45-3.55, 1 Se 3.57, 2 Te 3.71-3.74
Rb4 0.9222 0.7838 0.8637  2 S 3.42-3.60, 1 Se 3.67, 3 Te 3.68-3.81
S1 0.8223 0.6406 0.2831  1 Nb 2.29
S2 0.1777 0.3594 0.7169  1 Nb 2.29
Se1 0.2553 0.9709 0.4854  2 Nb 2.51-2.52
Se2 0.7447 0.0291 0.5146  2 Nb 2.51-2.52
Te1 0.6116 0.1977 0.0836  1 Nb 2.65
Te2 0.3884 0.8023 0.9164  1 Nb 2.65

Summary:
energy = -4.810 eV per atom